Here is BeCu2P after structural relaxation from the Alexandria database. Energies are from PBE.

a b c (Å): 3.6585 2.7769 4.7679
angles (deg): 87.02 90.00 90.00
Element x y z (fractional)
P  0.0000  0.5512  0.5328
Cu  0.0000  0.9791  0.9630
Cu  0.5000  0.4874  0.2353
Be  0.5000  0.4823  0.7689

Density = 5.7 g/cm3
Formation enthalpy at 0 K = 0.06 eV/atom
E_tot = -4.270 eV/atom
Symmetry = No. 6
Relative energy among the computed polymorphs = 21 meV/atom

***

Here is Sc2Ta2Cu after structural relaxation from the Alexandria database. Energies are from PBE.

a b c (Å): 6.7085 6.7085 4.4807
angles (deg): 90.00 90.00 90.00
Element x y z (fractional)
Sc  0.1593  0.6593  0.5000
Sc  0.6593  0.8407  0.5000
Sc  0.8407  0.3407  0.5000
Sc  0.3407  0.1593  0.5000
Cu  0.0000  0.0000  0.0000
Cu  0.5000  0.5000  0.0000
Ta  0.3592  0.8592  0.0000
Ta  0.8592  0.6408  0.0000
Ta  0.6408  0.1408  0.0000
Ta  0.1408  0.3592  0.0000

Density = 8.5 g/cm3
Formation enthalpy at 0 K = 0.36 eV/atom
E_tot = -7.733 eV/atom
Symmetry = No. 127

***

Here is Pu2PaIr after structural relaxation from the Alexandria database. Energies are from PBE.

a b c (Å): 3.4972 3.4972 7.0744
angles (deg): 90.00 90.00 90.00
Last column: magnetic moment on the atom in μB.
Element x y z (fractional)
Pa  0.5000  0.5000  0.0000  0.12
Ir  0.5000  0.5000  0.5000  -0.33
Pu  0.0000  0.0000  0.7220  4.82
Pu  0.0000  0.0000  0.2780  4.82

Density = 17.5 g/cm3
Formation enthalpy at 0 K = -0.22 eV/atom
E_tot = -11.973 eV/atom
Symmetry = No. 123
Relative energy among the computed polymorphs = 0 meV/atom

***

Here is SrScTe2 after structural relaxation from the Alexandria database. Energies are from PBE.

a b c (Å): 5.5007 5.5007 5.5007
angles (deg): 60.00 60.00 60.00
Last column: magnetic moment on the atom in μB.
Element x y z (fractional)
Sc  0.5000  0.5000  0.5000  0.58
Sr  0.7500  0.7500  0.7500  0.06
Te  0.0000  0.0000  0.0000  -0.06
Te  0.2500  0.2500  0.2500  -0.06

Density = 5.5 g/cm3
E_tot = -3.921 eV/atom
Raw formation energy = -33.5 kJ/mol of atoms
Symmetry = No. 216
Relative energy among the computed polymorphs = 1030 meV/atom

***

Here is Co2Ni6Ir3 after structural relaxation from the Alexandria database. Energies are from PBE.

a b c (Å): 4.7198 4.7198 13.3725
angles (deg): 86.62 86.62 61.75
Element x y z (fractional)
Co  0.3823  0.8807  0.8942
Co  0.8807  0.3823  0.3942
Co  0.6177  0.1193  0.1058
Co  0.1193  0.6177  0.6058
Ni  0.8862  0.3777  0.8953
Ni  0.3852  0.3745  0.9483
Ni  0.8817  0.8737  0.9382
Ni  0.3777  0.8862  0.3953
Ni  0.8737  0.8817  0.4382
Ni  0.3745  0.3852  0.4483
Ni  0.1138  0.6223  0.1047
Ni  0.6148  0.6255  0.0517
Ni  0.1183  0.1263  0.0618
Ni  0.6223  0.1138  0.6047
Ni  0.1263  0.1183  0.5618
Ni  0.6255  0.6148  0.5517
Ir  0.3379  0.3270  0.7688
Ir  0.0115  0.9885  0.7500
Ir  0.6730  0.6621  0.7312
Ir  0.3270  0.3379  0.2688
Ir  0.6621  0.6730  0.2312
Ir  0.9885  0.0115  0.2500

Density = 13.3 g/cm3
Formation enthalpy at 0 K = 0.19 eV/atom
E_tot = -6.677 eV/atom
Symmetry = No. 15

***

Here is Sm2Cd2Sn after structural relaxation from the Alexandria database. Energies are from PBE.

a b c (Å): 8.1802 8.1802 6.2191
angles (deg): 44.70 44.70 31.66
Element x y z (fractional)
Sm  0.6990  0.6990  0.8141
Sm  0.3010  0.3010  0.1859
Cd  0.4088  0.4088  0.4961
Cd  0.5912  0.5912  0.5039
Sn  0.0000  0.0000  0.0000

Density = 7.3 g/cm3
Formation enthalpy at 0 K = -0.30 eV/atom
E_tot = -3.351 eV/atom
Symmetry = No. 12

***

> Which value of E_tot does entry 3 give?

-11.973 eV/atom